(1)
DFT (PBE-GGA) results for crystalline La2AsPd at its relaxed geometry.

Computed properties:
energy of formation from the pure elements	-1074	meV per atom
SG	R-3m, No. 166
DOS at the Fermi energy	0.731	states/eV/atom

Unit cell a=7.702 b=7.702 c=7.702 alpha=32.21 beta=32.21 gamma=32.21
Element x y z (fractional)
La (0.250, 0.250, 0.250)
La (0.750, 0.750, 0.750)
As (0.000, 0.000, 0.000)
Pd (0.500, 0.500, 0.500)

---

(2)
DFT (PBE-GGA) results for crystalline LaAsPd6 at its relaxed geometry.

Computed properties:
energy of formation from the pure elements	-368	meV per atom
SG	R-3m, No. 166
DOS at the Fermi energy	0.355	states/eV/atom

Unit cell a=6.900 b=6.900 c=6.900 alpha=48.28 beta=48.28 gamma=48.28
Element x y z (fractional)
La (0.000, 0.000, 0.000)
As (0.500, 0.500, 0.500)
Pd (0.061, 0.580, 0.580)
Pd (0.420, 0.420, 0.939)
Pd (0.420, 0.939, 0.420)
Pd (0.580, 0.061, 0.580)
Pd (0.580, 0.580, 0.061)
Pd (0.939, 0.420, 0.420)

---

(3)
DFT (PBE-GGA) results for crystalline La2AsPd3 at its relaxed geometry.

Computed properties:
energy of formation from the pure elements	-965	meV per atom
SG	Fmmm, No. 69
DOS at the Fermi energy	0.362	states/eV/atom

Unit cell a=9.027 b=8.780 c=5.937 alpha=72.79 beta=68.29 gamma=38.92
Element x y z (fractional)
La (0.247, 0.753, 0.753)
La (0.250, 0.250, 0.250)
La (0.750, 0.750, 0.750)
La (0.753, 0.247, 0.247)
As (0.334, 0.334, 0.666)
As (0.666, 0.666, 0.334)
Pd (0.172, 0.658, 0.342)
Pd (0.174, 0.174, 0.826)
Pd (0.342, 0.828, 0.172)
Pd (0.658, 0.172, 0.828)
Pd (0.826, 0.826, 0.174)
Pd (0.828, 0.342, 0.658)

---

(4)
DFT (PBE-GGA) results for crystalline LaAs4Pd12 at its relaxed geometry.

Computed properties:
energy of formation from the pure elements	-298	meV per atom
SG	Im-3, No. 204
DOS at the Fermi energy	0.206	states/eV/atom

Unit cell a=7.452 b=7.452 c=7.452 alpha=109.47 beta=109.47 gamma=109.47
Element x y z (fractional)
La (0.000, 0.000, 0.000)
As (0.000, 0.000, 0.500)
As (0.000, 0.500, 0.000)
As (0.500, 0.000, 0.000)
As (0.500, 0.500, 0.500)
Pd (0.164, 0.507, 0.343)
Pd (0.164, 0.821, 0.657)
Pd (0.179, 0.343, 0.836)
Pd (0.343, 0.164, 0.507)
Pd (0.343, 0.836, 0.179)
Pd (0.493, 0.657, 0.836)
Pd (0.507, 0.343, 0.164)
Pd (0.657, 0.164, 0.821)
Pd (0.657, 0.836, 0.493)
Pd (0.821, 0.657, 0.164)
Pd (0.836, 0.179, 0.343)
Pd (0.836, 0.493, 0.657)

---

(5)
DFT (PBE-GGA) results for crystalline La2As4Pd at its relaxed geometry.

Computed properties:
energy of formation from the pure elements	-701	meV per atom
SG	I4/mmm, No. 139
DOS at the Fermi energy	0.602	states/eV/atom

Unit cell a=8.243 b=8.243 c=8.243 alpha=145.45 beta=145.45 gamma=49.66
Element x y z (fractional)
La (0.134, 0.134, 0.000)
La (0.866, 0.866, 0.000)
As (0.000, 0.500, 0.500)
As (0.333, 0.333, 0.000)
As (0.500, 0.000, 0.500)
As (0.667, 0.667, 0.000)
Pd (0.500, 0.500, 0.000)

---

(6)
DFT (PBE-GGA) results for crystalline LaAs2Pd6 at its relaxed geometry.

Computed properties:
energy of formation from the pure elements	-456	meV per atom
SG	P6/mmm, No. 191
DOS at the Fermi energy	0.737	states/eV/atom

Unit cell a=5.677 b=5.677 c=6.565 alpha=90.00 beta=90.00 gamma=120.00
Element x y z (fractional)
La (0.000, 0.000, 0.000)
As (0.333, 0.667, 0.500)
As (0.667, 0.333, 0.500)
Pd (0.000, 0.500, 0.213)
Pd (0.000, 0.500, 0.787)
Pd (0.500, 0.000, 0.213)
Pd (0.500, 0.000, 0.787)
Pd (0.500, 0.500, 0.213)
Pd (0.500, 0.500, 0.787)

---

(7)
DFT (PBE-GGA) results for crystalline LaAs3Pd4 at its relaxed geometry.

Computed properties:
energy of formation from the pure elements	-679	meV per atom
SG	P4/mmm, No. 123
DOS at the Fermi energy	0.496	states/eV/atom

Unit cell a=4.310 b=4.310 c=8.154 alpha=90.00 beta=90.00 gamma=90.00
Element x y z (fractional)
La (0.000, 0.000, 0.000)
As (0.000, 0.000, 0.500)
As (0.500, 0.500, 0.156)
As (0.500, 0.500, 0.844)
Pd (0.000, 0.500, 0.323)
Pd (0.000, 0.500, 0.677)
Pd (0.500, 0.000, 0.323)
Pd (0.500, 0.000, 0.677)

---

(8)
DFT (PBE-GGA) results for crystalline LaAs3Pd5 at its relaxed geometry.

Computed properties:
energy of formation from the pure elements	-632	meV per atom
SG	Cmcm, No. 63
DOS at the Fermi energy	0.638	states/eV/atom

Unit cell a=6.930 b=6.930 c=12.720 alpha=90.00 beta=90.00 gamma=146.58
Element x y z (fractional)
La (0.140, 0.860, 0.750)
La (0.860, 0.140, 0.250)
As (0.129, 0.871, 0.250)
As (0.387, 0.613, 0.052)
As (0.387, 0.613, 0.448)
As (0.613, 0.387, 0.552)
As (0.613, 0.387, 0.948)
As (0.871, 0.129, 0.750)
Pd (0.000, 0.000, 0.000)
Pd (0.000, 0.000, 0.500)
Pd (0.206, 0.794, 0.071)
Pd (0.206, 0.794, 0.429)
Pd (0.438, 0.562, 0.644)
Pd (0.438, 0.562, 0.856)
Pd (0.562, 0.438, 0.144)
Pd (0.562, 0.438, 0.356)
Pd (0.794, 0.206, 0.571)
Pd (0.794, 0.206, 0.929)

---

(9)
DFT (PBE-GGA) results for crystalline LaAsPd at its relaxed geometry.

Computed properties:
energy of formation from the pure elements	-793	meV per atom
SG	I4mm, No. 107
DOS at the Fermi energy	0.208	states/eV/atom

Unit cell a=5.169 b=5.169 c=5.169 alpha=132.93 beta=132.93 gamma=68.77
Element x y z (fractional)
La (0.000, 0.000, 0.000)
As (0.653, 0.653, 0.000)
Pd (0.358, 0.358, 0.000)

---

(10)
DFT (PBE-GGA) results for crystalline La2AsPd at its relaxed geometry.

Computed properties:
energy of formation from the pure elements	-812	meV per atom
SG	I-42d, No. 122
DOS at the Fermi energy	0.762	states/eV/atom

Unit cell a=6.772 b=6.772 c=6.772 alpha=110.05 beta=110.05 gamma=108.33
Element x y z (fractional)
La (0.119, 0.625, 0.994)
La (0.375, 0.369, 0.494)
La (0.631, 0.125, 0.006)
La (0.875, 0.881, 0.506)
As (0.250, 0.750, 0.500)
As (0.500, 0.500, 0.000)
Pd (0.000, 0.000, 0.000)
Pd (0.750, 0.250, 0.500)

---

(11)
DFT (PBE-GGA) results for crystalline LaAsPd3 at its relaxed geometry.

Computed properties:
energy of formation from the pure elements	681	meV per atom
SG	Pm-3m, No. 221
DOS at the Fermi energy	0.539	states/eV/atom

Unit cell a=5.106 b=5.106 c=5.106 alpha=90.00 beta=90.00 gamma=90.00
Element x y z (fractional)
La (0.000, 0.000, 0.000)
As (0.500, 0.500, 0.500)
Pd (0.000, 0.000, 0.500)
Pd (0.000, 0.500, 0.000)
Pd (0.500, 0.000, 0.000)

---

(12)
DFT (PBE-GGA) results for crystalline LaAsPd at its relaxed geometry.

Computed properties:
energy of formation from the pure elements	-1265	meV per atom
SG	P6_3/mmc, No. 194
DOS at the Fermi energy	0.113	states/eV/atom

Unit cell a=4.423 b=4.423 c=16.023 alpha=90.00 beta=90.00 gamma=120.00
Element x y z (fractional)
La (0.000, 0.000, 0.000)
La (0.000, 0.000, 0.250)
La (0.000, 0.000, 0.500)
La (0.000, 0.000, 0.750)
As (0.333, 0.667, 0.121)
As (0.333, 0.667, 0.379)
As (0.667, 0.333, 0.621)
As (0.667, 0.333, 0.879)
Pd (0.333, 0.667, 0.630)
Pd (0.333, 0.667, 0.870)
Pd (0.667, 0.333, 0.130)
Pd (0.667, 0.333, 0.370)

---

Question: Which formula does entry 3 have?
Answer: La2AsPd3

---

Question: The highest energy of formation from the pure elements belongs to which entry?
Answer: LaAsPd3

---

Question: Which formula does entry 11 have?
Answer: LaAsPd3

---

Question: Which of these has the highest energy of formation from the pure elements?
Answer: LaAsPd3